# Cd3AgBr8

Crystalline Cd3AgBr8 at its relaxed geometry (PBE-GGA, the Alexandria database).

Summary:
Total energy ... -27.11 eV per formula unit
E_form (uncorrected) ... -0.677 eV/atom

Cell lengths 8.2015, 8.0543, 8.3361 Å; angles 120.81, 90.00, 120.61 degrees
Site moments in Bohr magnetons follow the coordinates.
Fractional positions:
Br  0.2380  0.4760  0.2288  0.04
Br  0.2476  0.4952  0.7645  0.00
Br  0.7620  0.5240  0.7712  0.04
Br  0.2534  0.9958  0.2352  0.02
Br  0.7424  0.9958  0.2352  0.02
Br  0.2576  0.0042  0.7648  0.02
Br  0.7466  0.0042  0.7648  0.02
Br  0.7524  0.5048  0.2355  0.00
Cd  0.5000  0.0000  0.0000  0.00
Cd  0.0000  0.5000  0.0000  0.00
Cd  0.5000  0.5000  0.0000  0.00
Ag  0.0000  0.0000  0.0000  0.08

***

# PmTm2Sn

Crystalline PmTm2Sn at its relaxed geometry (PBE-GGA, the Alexandria database).

Summary:
Total energy ... -18.81 eV per formula unit

Cell lengths 5.3496, 6.8728, 6.9858 Å; angles 90.00, 90.00, 112.90 degrees
Fractional positions:
Tm  0.3697  0.7394  0.9775
Tm  0.6303  0.2606  0.4775
Tm  0.6303  0.2606  0.0225
Tm  0.3697  0.7394  0.5225
Pm  0.9333  0.8666  0.2500
Pm  0.0667  0.1334  0.7500
Sn  0.1811  0.3622  0.2500
Sn  0.8189  0.6378  0.7500

***

# Ta3VPd

Crystalline Ta3VPd at its relaxed geometry (PBE-GGA, the Alexandria database).

Summary:
Total energy ... -41.94 eV per formula unit

Cell lengths 4.8193, 4.8193, 4.8193 Å; angles 90.00, 90.00, 90.00 degrees
Site moments in Bohr magnetons follow the coordinates.
Fractional positions:
Pd  0.0000  0.0000  0.0000  0.06
Ta  0.0000  0.5000  0.0000  -0.04
Ta  0.0000  0.0000  0.5000  -0.04
Ta  0.5000  0.0000  0.0000  -0.04
V  0.5000  0.5000  0.5000  2.42

***

# Mg2Al3Ga4

Crystalline Mg2Al3Ga4 at its relaxed geometry (PBE-GGA, the Alexandria database).

Summary:
Total energy ... -26.12 eV per formula unit

Cell lengths 2.9271, 9.2767, 8.0827 Å; angles 125.02, 100.43, 90.00 degrees
Fractional positions:
Ga  0.6384  0.3849  0.2767
Ga  0.6384  0.8918  0.2767
Ga  0.3616  0.1082  0.7233
Ga  0.3616  0.6151  0.7233
Al  0.9000  0.9000  0.8000
Al  0.5000  0.5000  0.0000
Al  0.1000  0.1000  0.2000
Mg  0.2010  0.7010  0.4021
Mg  0.7990  0.2990  0.5979